(1)
The following is a DFT calculation (PBE) of an optimized crystal structure of LiLa3Te2Br6.

Values from the calculation:
The formation energy from raw total energies comes out at -1.715 eV per atom. The total moment comes out at 0.0 Bohr magnetons per cell.

```
LiLa3Te2Br6
1.0
6.804 0.000 0.546
0.000 8.958 0.000
-0.228 -4.479 7.413
Li La Te Br
1 3 2 6
direct
0.500 0.000 0.000
0.000 0.500 0.000
0.500 0.500 0.500
0.500 0.000 0.500
0.223 0.680 0.360
0.777 0.320 0.640
0.741 0.324 0.148
0.259 0.676 0.852
0.708 0.843 0.686
0.292 0.157 0.314
0.259 0.176 0.852
0.741 0.824 0.148
```

***

(2)
The following is a DFT calculation (PBE) of an optimized crystal structure of LiLaWBr2.

Values from the calculation:
The formation energy from raw total energies comes out at 0.401 eV per atom. The total moment comes out at 0.3 Bohr magnetons per cell.

```
LiLaWBr2
1.0
-4.793 1.255 1.982
0.000 -4.461 2.822
2.346 2.562 4.050
Li Br W La
1 2 1 1
direct
0.500 0.500 0.500
0.000 0.000 0.500
0.500 0.000 0.000
0.000 0.000 0.000
0.000 0.500 0.000
```

***

(3)
The following is a DFT calculation (PBE) of an optimized crystal structure of LaMgBr2.

Values from the calculation:
For the energy above the most stable polymorph in this dataset, the calculation gives 0.80 eV per formula unit. The formation energy from raw total energies comes out at -0.896 eV per atom. The total moment comes out at 0.0 Bohr magnetons per cell.

```
LaMgBr2
1.0
4.939 0.000 0.000
0.000 4.939 0.000
0.000 0.000 4.428
Br La Mg
2 1 1
direct
0.000 0.000 0.000
0.500 0.500 0.000
0.500 0.000 0.500
0.000 0.500 0.500
```

***

(4)
The following is a DFT calculation (PBE) of an optimized crystal structure of LaMgBr2.

Values from the calculation:
For the energy above the most stable polymorph in this dataset, the calculation gives 0.82 eV per formula unit. The formation energy from raw total energies comes out at -0.891 eV per atom. The total moment comes out at 0.0 Bohr magnetons per cell.

```
LaMgBr2
1.0
9.552 0.000 0.000
0.000 9.552 0.000
4.776 4.776 3.527
Mg Br La
2 4 2
direct
0.500 0.500 0.000
0.250 0.750 0.500
0.716 0.125 0.250
0.034 0.625 0.250
0.375 0.284 0.750
0.875 0.966 0.750
0.000 0.000 0.000
0.750 0.250 0.500
```

***

Question: total moment of number 3 (LaMgBr2)?
Answer: 0.0 Bohr magnetons per cell